(1)
# YZnPb2 (PBEsol, relaxed)
# total magnetic moment	0.0000	μB/atom
data_YZnPb2
_cell_length_a 4.4586
_cell_length_b 4.4586
_cell_length_c 9.8004
_cell_angle_alpha 90.00
_cell_angle_beta 90.00
_cell_angle_gamma 90.00
_symmetry_space_group_name_H-M 'I 4/m m m'
_symmetry_Int_Tables_number 139
_symmetry_space_group_name_Hall '-I 4 2'
loop_
_atom_site_label
_atom_site_type_symbol
_atom_site_fract_x
_atom_site_fract_y
_atom_site_fract_z
Y1 Y 0.0000 0.0000 0.0000
Zn1 Zn 0.0000 0.0000 0.5000
Pb1 Pb 0.0000 0.5000 0.2500

=====

(2)
# YZnPb2 (PBEsol, relaxed)
# total magnetic moment	0.0000	μB/atom
data_YZnPb2
_cell_length_a 3.5800
_cell_length_b 4.3996
_cell_length_c 6.3811
_cell_angle_alpha 90.00
_cell_angle_beta 92.22
_cell_angle_gamma 90.00
_symmetry_space_group_name_H-M 'P 1 m 1'
_symmetry_Int_Tables_number 6
_symmetry_space_group_name_Hall 'P -2y'
loop_
_atom_site_label
_atom_site_type_symbol
_atom_site_fract_x
_atom_site_fract_y
_atom_site_fract_z
Y1 Y 0.0000 0.0000 0.0000
Zn1 Zn 0.4826 0.5000 0.2398
Pb1 Pb 0.4734 0.5000 0.7627
Pb2 Pb 0.9054 0.0000 0.4776

=====

(3)
# Y2ZnPb (PBEsol, relaxed)
# total magnetic moment	0.0000	μB/atom
data_Y2ZnPb
_cell_length_a 3.6897
_cell_length_b 3.6897
_cell_length_c 26.7956
_cell_angle_alpha 90.00
_cell_angle_beta 90.00
_cell_angle_gamma 120.00
_symmetry_space_group_name_H-M 'R -3 m'
_symmetry_Int_Tables_number 166
_symmetry_space_group_name_Hall '-R 3 2"'
loop_
_atom_site_label
_atom_site_type_symbol
_atom_site_fract_x
_atom_site_fract_y
_atom_site_fract_z
Y1 Y 0.0000 0.0000 0.2418
Zn1 Zn 0.0000 0.0000 0.5000
Pb1 Pb 0.0000 0.0000 0.0000

=====

(4)
# Y3ZnPb (PBEsol, relaxed)
# total magnetic moment	0.2653	μB/atom
data_Y3ZnPb
_cell_length_a 5.6664
_cell_length_b 5.6664
_cell_length_c 5.6664
_cell_angle_alpha 90.00
_cell_angle_beta 90.00
_cell_angle_gamma 90.00
_symmetry_space_group_name_H-M 'P m -3 m'
_symmetry_Int_Tables_number 221
_symmetry_space_group_name_Hall '-P 4 2 3'
loop_
_atom_site_label
_atom_site_type_symbol
_atom_site_fract_x
_atom_site_fract_y
_atom_site_fract_z
Y1 Y 0.0000 0.0000 0.5000
Zn1 Zn 0.5000 0.5000 0.5000
Pb1 Pb 0.0000 0.0000 0.0000

=====

| no. | energy (eV/atom) | ΔE_f (eV per formula unit) | ρ (g cm⁻³) |
| --- | --- | --- | --- |
| 1 | -4.37 | -1.06 | 9.7 |
| 2 | -4.25 | -0.61 | 9.4 |
| 3 | -5.08 | -1.10 | 7.1 |
| 4 | -4.71 | 2.48 | 4.9 |